(1)
Rb2CuF6 at its PBEsol-relaxed geometry, computed with SCAN.

a = 8.365 Å, b = 8.365 Å, c = 8.365 Å
α = 90.00°, β = 90.00°, γ = 90.00°
Space group Fm-3m (No. 225)
One atom of each set of equivalent atoms:
Rb1 0.250 0.250 0.250 (multiplicity 8)
Cu1 0.000 0.000 0.000 (multiplicity 4)
F1 0.000 0.000 0.219 (multiplicity 24)

Output
- M_tot (μB/atom) = 0.11
- total energy (eV/atom) = -10.83

(2)
Rb2CuF4 at its PBEsol-relaxed geometry, computed with SCAN.

a = 4.127 Å, b = 4.127 Å, c = 13.353 Å
α = 90.00°, β = 90.00°, γ = 90.00°
Space group I4/mmm (No. 139)
One atom of each set of equivalent atoms:
Rb1 0.000 0.000 0.144 (multiplicity 4)
Cu1 0.000 0.000 0.500 (multiplicity 2)
F1 0.000 0.000 0.353 (multiplicity 4)
F2 0.000 0.500 0.000 (multiplicity 4)

Output
- M_tot (μB/atom) = 0.14
- total energy (eV/atom) = -12.63

(3)
RbVCuF6 at its PBEsol-relaxed geometry, computed with SCAN.

a = 6.800 Å, b = 7.407 Å, c = 10.130 Å
α = 90.00°, β = 90.00°, γ = 90.00°
Space group Pnma (No. 62)
One atom of each set of equivalent atoms:
Rb1 0.013 0.250 0.112 (multiplicity 4)
V1 0.000 0.000 0.500 (multiplicity 4)
Cu1 0.189 0.250 0.761 (multiplicity 4)
F1 0.070 0.750 0.169 (multiplicity 4)
F2 0.080 0.250 0.503 (multiplicity 4)
F3 0.113 0.528 0.666 (multiplicity 8)
F4 0.241 0.555 0.423 (multiplicity 8)

Output
- M_tot (μB/atom) = 0.11
- total energy (eV/atom) = -11.06

(4)
Cu2ReWF at its PBEsol-relaxed geometry, computed with SCAN.

a = 4.659 Å, b = 4.659 Å, c = 4.630 Å
α = 90.00°, β = 90.00°, γ = 90.00°
Space group P4/mmm (No. 123)
One atom of each set of equivalent atoms:
Cu1 0.000 0.500 0.000 (multiplicity 2)
Re1 0.000 0.000 0.500 (multiplicity 1)
W1 0.000 0.000 0.000 (multiplicity 1)
F1 0.500 0.500 0.500 (multiplicity 1)

Output
- M_tot (μB/atom) = 0.34
- total energy (eV/atom) = -33.15

(5)
CuRh3F at its PBEsol-relaxed geometry, computed with SCAN.

a = 4.463 Å, b = 4.463 Å, c = 4.463 Å
α = 90.00°, β = 90.00°, γ = 90.00°
Space group Pm-3m (No. 221)
One atom of each set of equivalent atoms:
Cu1 0.000 0.000 0.000 (multiplicity 1)
Rh1 0.000 0.000 0.500 (multiplicity 3)
F1 0.500 0.500 0.500 (multiplicity 1)

Output
- M_tot (μB/atom) = 0.95
- total energy (eV/atom) = -22.72

(6)
Cu2SF at its PBEsol-relaxed geometry, computed with SCAN.

a = 4.817 Å, b = 4.817 Å, c = 10.441 Å
α = 90.00°, β = 90.00°, γ = 90.00°
Space group I-42d (No. 122)
One atom of each set of equivalent atoms:
Cu1 0.246 0.250 0.125 (multiplicity 8)
S1 0.000 0.000 0.500 (multiplicity 4)
F1 0.000 0.000 0.000 (multiplicity 4)

Output
- M_tot (μB/atom) = 0.00
- total energy (eV/atom) = -11.56

| no. | calculated volume (Å³ per atom) |
| --- | --- |
| 1 | 16.3 |
| 2 | 16.2 |
| 3 | 14.2 |
| 4 | 20.1 |
| 5 | 17.8 |
| 6 | 15.1 |